[1]
Material: Ac2CdBiO5
Method: DFT, PBE
State: relaxed

a b c (Å): 3.8113 7.7899 11.1212
angles (deg): 90.00 90.00 104.16
Closest atoms and distances in Å follow each position.
Fractional coordinates of all 18 atoms:
Ac (0.8828, 0.7656, 0.7809)  6 O 2.54-2.66
Ac (0.1494, 0.2988, 0.6767)  6 O 2.53-2.66
Ac (0.1172, 0.2344, 0.2809)  6 O 2.54-2.66
Ac (0.8506, 0.7012, 0.1767)  6 O 2.53-2.66
Cd (0.7837, 0.5675, 0.4622)  1 O 2.17
Cd (0.2163, 0.4325, 0.9622)  1 O 2.17
Bi (0.5520, 0.1040, 0.9961)  3 O 2.23-2.30
Bi (0.4480, 0.8960, 0.4961)  3 O 2.23-2.30
O (0.3515, 0.7031, 0.0268)  1 Cd 2.17
O (0.7149, 0.4298, 0.8181)  2 Cd 2.49, 3 Ac 2.57-2.66
O (0.4938, 0.9875, 0.8120)  1 Bi 2.23
O (0.3200, 0.6399, 0.6571)  3 Ac 2.54-2.59, 1 Bi 2.64
O (0.9926, 0.9852, 0.5942)  2 Bi 2.30, 1 Ac 2.54
O (0.6485, 0.2969, 0.5268)  1 Cd 2.17
O (0.2851, 0.5702, 0.3181)  2 Cd 2.49, 3 Ac 2.57-2.66
O (0.5062, 0.0125, 0.3120)  1 Bi 2.23
O (0.6800, 0.3601, 0.1571)  3 Ac 2.54-2.59, 1 Bi 2.64
O (0.0074, 0.0148, 0.0942)  2 Bi 2.30, 1 Ac 2.54

Calculated values
* M_tot: 0.854 μB/cell
* ΔE_f (raw): -2.104 eV per atom
* energy: -6.30 eV/atom


[2]
Material: TlCdGaBi
Method: DFT, PBE
State: relaxed

a b c (Å): 5.3537 5.3537 5.3537
angles (deg): 60.00 60.00 60.00
Closest atoms and distances in Å follow each position.
Fractional coordinates of all 4 atoms:
Tl (0.0000, 0.0000, 0.0000)  4 Ga 3.28, 4 Cd 3.28
Bi (0.5000, 0.5000, 0.5000)  4 Cd 3.28, 4 Ga 3.28
Ga (0.2500, 0.2500, 0.2500)  4 Bi 3.28, 4 Tl 3.28
Cd (0.7500, 0.7500, 0.7500)  4 Tl 3.28, 4 Bi 3.28

Calculated values
* M_tot: 0.000 μB/cell
* energy: -2.49 eV/atom


[3]
Material: Ir2RhCl
Method: DFT, PBE
State: relaxed

a b c (Å): 4.7434 4.7434 2.7671
angles (deg): 90.00 90.00 105.55
Closest atoms and distances in Å follow each position.
Fractional coordinates of all 4 atoms:
Cl (0.0000, 0.5000, 0.5000)  8 Ir 2.75, 2 Cl 2.77, 2 Rh 2.87
Ir (0.0000, 0.0000, 0.0000)  4 Cl 2.75, 4 Rh 2.75, 4 Ir 2.77-2.87
Ir (0.5000, 0.5000, 0.0000)  4 Rh 2.75, 4 Cl 2.75, 4 Ir 2.77-2.87
Rh (0.5000, 0.0000, 0.5000)  8 Ir 2.75, 2 Rh 2.77, 2 Cl 2.87

Calculated values
* M_tot: 0.000 μB/cell
* ΔE_f (raw): 0.901 eV per atom
* energy: -5.83 eV/atom


[4]
Material: CsHoTe2
Method: DFT, PBE
State: relaxed

a b c (Å): 4.5250 4.5250 9.3652
angles (deg): 76.02 76.02 60.00
Closest atoms and distances in Å follow each position.
Fractional coordinates of all 4 atoms:
Cs (0.4988, 0.4988, 0.5036)  6 Te 3.80-3.86
Ho (0.6672, 0.6672, 0.9985)  6 Te 3.11-3.12
Te (0.0632, 0.0632, 0.8104)  3 Ho 3.11
Te (0.2708, 0.2708, 0.1875)  3 Ho 3.12

Calculated values
* M_tot: 0.000 μB/cell
* ΔE_f (raw): -1.369 eV per atom
* energy: -4.30 eV/atom